Model P:
Below is a relaxed structure of CuAs2Au, with properties calculated at the PBEsol level.

```
data_CuAs2Au
_cell_length_a 5.3678
_cell_length_b 7.0494
_cell_length_c 3.5056
_cell_angle_alpha 90.00
_cell_angle_beta 90.00
_cell_angle_gamma 90.00
_symmetry_space_group_name_H-M 'C m m m'
_symmetry_Int_Tables_number 65
_symmetry_space_group_name_Hall '-C 2 2'
loop_
_atom_site_label
_atom_site_fract_x
_atom_site_fract_y
_atom_site_fract_z
Cu1 0.0000 0.0000 0.0000
As1 0.2500 0.2500 0.5000
Au1 0.0000 0.5000 0.0000
```

Crystal system: orthorhombic

***

Model Q:
Below is a relaxed structure of CuAs2Au, with properties calculated at the PBEsol level.

```
data_CuAs2Au
_cell_length_a 3.8102
_cell_length_b 4.0385
_cell_length_c 8.5975
_cell_angle_alpha 90.00
_cell_angle_beta 90.00
_cell_angle_gamma 90.00
_symmetry_space_group_name_H-M 'C m m m'
_symmetry_Int_Tables_number 65
_symmetry_space_group_name_Hall '-C 2 2'
loop_
_atom_site_label
_atom_site_fract_x
_atom_site_fract_y
_atom_site_fract_z
Cu1 0.0000 0.0000 0.0000
As1 0.0000 0.5000 0.2180
Au1 0.0000 0.0000 0.5000
```

Crystal system: orthorhombic

***

The energy of each structure relative to the most stable one, in meV per atom, is as follows: model P 0; model Q 12.

***

Model P:
Below is a relaxed structure of CuAsAu, with properties calculated at the PBEsol level.

```
data_CuAsAu
_cell_length_a 5.9789
_cell_length_b 5.9789
_cell_length_c 5.9789
_cell_angle_alpha 90.00
_cell_angle_beta 90.00
_cell_angle_gamma 90.00
_symmetry_space_group_name_H-M 'F -4 3 m'
_symmetry_Int_Tables_number 216
_symmetry_space_group_name_Hall 'F -4 2 3'
loop_
_atom_site_label
_atom_site_fract_x
_atom_site_fract_y
_atom_site_fract_z
Cu1 0.0000 0.0000 0.0000
As1 0.0000 0.0000 0.5000
Au1 0.2500 0.2500 0.2500
```

Crystal system: cubic

***

Model Q:
Below is a relaxed structure of CuAsAu, with properties calculated at the PBEsol level.

```
data_CuAsAu
_cell_length_a 12.0946
_cell_length_b 2.8250
_cell_length_c 2.8250
_cell_angle_alpha 90.00
_cell_angle_beta 103.35
_cell_angle_gamma 90.00
_symmetry_space_group_name_H-M 'C 1 m 1'
_symmetry_Int_Tables_number 8
loop_
_symmetry_equiv_pos_as_xyz
'x,y,z'
'x,-y,z'
'x+1/2,y+1/2,z'
'x+1/2,-y+1/2,z'
loop_
_atom_site_label
_atom_site_fract_x
_atom_site_fract_y
_atom_site_fract_z
Cu1 0.0000 0.0000 0.0000
As1 0.1462 0.5000 0.6470
Au1 0.3447 0.0000 0.3457
```

Crystal system: monoclinic

***

The energy of each structure relative to the most stable one, in meV per atom, is as follows: model P 35; model Q 0.

***

Model P:
Below is a relaxed structure of HgAs2Au, with properties calculated at the PBEsol level.

```
data_HgAs2Au
_cell_length_a 2.8043
_cell_length_b 5.1661
_cell_length_c 5.3122
_cell_angle_alpha 90.00
_cell_angle_beta 90.00
_cell_angle_gamma 90.00
_symmetry_space_group_name_H-M 'P m m m'
_symmetry_Int_Tables_number 47
loop_
_symmetry_equiv_pos_as_xyz
'x,y,z'
'-x,-y,-z'
'-x,-y,z'
'x,y,-z'
'x,-y,-z'
'-x,y,z'
'-x,y,-z'
'x,-y,z'
loop_
_atom_site_label
_atom_site_fract_x
_atom_site_fract_y
_atom_site_fract_z
Hg1 0.0000 0.0000 0.0000
As1 0.0000 0.5000 0.5000
As2 0.5000 0.0000 0.5000
Au1 0.5000 0.5000 0.0000
```

Crystal system: orthorhombic

***

Model Q:
Below is a relaxed structure of HgAs2Au, with properties calculated at the PBEsol level.

```
data_HgAs2Au
_cell_length_a 4.5539
_cell_length_b 3.7982
_cell_length_c 5.1930
_cell_angle_alpha 90.00
_cell_angle_beta 106.09
_cell_angle_gamma 90.00
_symmetry_space_group_name_H-M 'P 1 2/m 1'
_symmetry_Int_Tables_number 10
loop_
_symmetry_equiv_pos_as_xyz
'x,y,z'
'-x,-y,-z'
'-x,y,-z'
'x,-y,z'
loop_
_atom_site_label
_atom_site_fract_x
_atom_site_fract_y
_atom_site_fract_z
Hg1 0.0000 0.0000 0.0000
As1 0.2376 0.5000 0.6818
Au1 0.5000 0.0000 0.5000
```

Crystal system: monoclinic

***

Model R:
Below is a relaxed structure of HgAs2Au, with properties calculated at the PBEsol level.

```
data_HgAs2Au
_cell_length_a 7.9250
_cell_length_b 2.8388
_cell_length_c 7.3219
_cell_angle_alpha 90.00
_cell_angle_beta 97.35
_cell_angle_gamma 90.00
_symmetry_space_group_name_H-M 'C 1 m 1'
_symmetry_Int_Tables_number 8
loop_
_symmetry_equiv_pos_as_xyz
'x,y,z'
'x,-y,z'
'x+1/2,y+1/2,z'
'x+1/2,-y+1/2,z'
loop_
_atom_site_label
_atom_site_fract_x
_atom_site_fract_y
_atom_site_fract_z
Hg1 0.0000 0.0000 0.0000
As1 0.0540 0.5000 0.5184
As2 0.2325 0.5000 0.2604
Au1 0.2723 0.0000 0.7398
```

Crystal system: monoclinic

***

The energy of each structure relative to the most stable one, in meV per atom, is as follows: model P 249; model Q 0; model R 107.

***

Model P:
Below is a relaxed structure of MnAs2Au, with properties calculated at the PBEsol level.

```
data_MnAs2Au
_cell_length_a 4.2925
_cell_length_b 4.2925
_cell_length_c 15.6592
_cell_angle_alpha 90.00
_cell_angle_beta 90.00
_cell_angle_gamma 90.00
_symmetry_space_group_name_H-M 'I -4 2 d'
_symmetry_Int_Tables_number 122
_symmetry_space_group_name_Hall 'I -4 2bw'
loop_
_atom_site_label
_atom_site_fract_x
_atom_site_fract_y
_atom_site_fract_z
Mn1 0.0000 0.0000 0.0000
As1 0.2084 0.2500 0.1250
Au1 0.0000 0.0000 0.5000
```

Crystal system: tetragonal

***

Model Q:
Below is a relaxed structure of MnAs2Au, with properties calculated at the PBEsol level.

```
data_MnAs2Au
_cell_length_a 2.8554
_cell_length_b 2.8646
_cell_length_c 7.7462
_cell_angle_alpha 90.00
_cell_angle_beta 90.00
_cell_angle_gamma 90.00
_symmetry_space_group_name_H-M 'P m m m'
_symmetry_Int_Tables_number 47
loop_
_symmetry_equiv_pos_as_xyz
'x,y,z'
'-x,-y,-z'
'-x,-y,z'
'x,y,-z'
'x,-y,-z'
'-x,y,z'
'-x,y,-z'
'x,-y,z'
loop_
_atom_site_label
_atom_site_fract_x
_atom_site_fract_y
_atom_site_fract_z
Mn1 0.0000 0.0000 0.0000
As1 0.5000 0.5000 0.1867
Au1 0.0000 0.5000 0.5000
```

Crystal system: orthorhombic

***

The energy of each structure relative to the most stable one, in meV per atom, is as follows: model P 115; model Q 0.